Material: Nb2NiF
Method: DFT, PBE+U
State: optimized geometry

The value obtained for the polymorph energy (0 for the lowest one) is 265.5 meV/atom. The value obtained for the density of states at the Fermi level is 7.2 states/eV/cell. Its space group is I-42d, No. 122.

Cell lengths 8.0121, 8.0121, 8.0121 Å; angles 150.21, 150.21, 42.64 degrees
Last column: nearest neighbours and their distance in Å.
Element x y z (fractional)
Nb1 0.1070 0.6250 0.9820  2 F 2.34, 2 Ni 2.40
Nb2 0.3750 0.3570 0.4820  2 F 2.34, 2 Ni 2.40
Nb3 0.6430 0.1250 0.0180  2 F 2.34, 2 Ni 2.40
Nb4 0.8750 0.8930 0.5180  2 F 2.34, 2 Ni 2.40
Ni1 0.2500 0.7500 0.5000  4 Nb 2.40
Ni2 0.5000 0.5000 0.0000  4 Nb 2.40
F1 0.0000 0.0000 0.0000  4 Nb 2.34
F2 0.7500 0.2500 0.5000  4 Nb 2.34